No. 1
Entry from the Open Quantum Materials Database: a geometry-optimized HfBePt structure (GGA-PBE).

Cell: 6.299 3.848 7.366 Å, 90.00 90.00 90.00°
Atoms (fractional coordinates):
Be 0.288 0.750 0.114
Be 0.788 0.750 0.386
Be 0.212 0.250 0.614
Be 0.712 0.250 0.886
Hf 0.979 0.250 0.190
Hf 0.479 0.250 0.310
Hf 0.521 0.750 0.690
Hf 0.021 0.750 0.810
Pt 0.668 0.750 0.067
Pt 0.168 0.750 0.433
Pt 0.832 0.250 0.567
Pt 0.332 0.250 0.933

Properties
- distance to the lowest polymorph of the same formula (meV/atom) = 0
- electronic total energy (eV per formula unit) = -22.36


No. 2
Entry from the Open Quantum Materials Database: a geometry-optimized Hf2AlBiPd2 structure (GGA-PBE).

Cell: 6.320 6.320 7.732 Å, 65.88 65.88 90.00°
Atoms (fractional coordinates):
Al 0.000 0.000 0.000
Al 0.250 0.750 0.500
Bi 0.500 0.500 0.000
Bi 0.750 0.250 0.500
Hf 0.495 0.995 0.010
Hf 0.755 0.755 0.490
Hf 0.245 0.245 0.510
Hf 0.005 0.505 0.990
Pd 0.625 0.108 0.250
Pd 0.125 0.642 0.250
Pd 0.358 0.375 0.750
Pd 0.892 0.875 0.750

Properties
- electronic total energy (eV per formula unit) = -41.51


No. 3
Entry from the Open Quantum Materials Database: a geometry-optimized FeBr3 structure (GGA-PBE).

Cell: 6.845 6.845 6.845 Å, 55.71 55.71 55.71°
Atoms (fractional coordinates):
Br 0.750 0.409 0.091
Br 0.591 0.909 0.250
Br 0.091 0.750 0.409
Br 0.909 0.250 0.591
Br 0.409 0.091 0.750
Br 0.250 0.591 0.909
Fe 0.000 0.000 0.000
Fe 0.500 0.500 0.500

Properties
- electronic total energy (eV per formula unit) = -14.47


No. 4
Entry from the Open Quantum Materials Database: a geometry-optimized LiSnAu structure (GGA-PBE).

Cell: 7.077 7.077 4.387 Å, 90.00 90.00 120.00°
Atoms (fractional coordinates):
Au 0.249 0.000 0.000
Au 0.000 0.249 0.000
Au 0.751 0.751 0.000
Li 0.554 0.000 0.500
Li 0.446 0.446 0.500
Li 0.000 0.554 0.500
Sn 0.667 0.333 0.000
Sn 0.333 0.667 0.000
Sn 0.000 0.000 0.500

Properties
- distance to the lowest polymorph of the same formula (meV/atom) = 140
- electronic total energy (eV per formula unit) = -10.07


No. 5
Entry from the Open Quantum Materials Database: a geometry-optimized YTaInFe structure (GGA-PBE).

Cell: 4.769 4.769 4.769 Å, 60.00 60.00 60.00°
Atoms (fractional coordinates):
Fe 0.750 0.750 0.750
In 0.000 0.000 0.000
Ta 0.500 0.500 0.500
Y 0.250 0.250 0.250

Properties
- distance to the lowest polymorph of the same formula (meV/atom) = 0
- electronic total energy (eV per formula unit) = -27.70


No. 6
Entry from the Open Quantum Materials Database: a geometry-optimized HoZnIn structure (GGA-PBE).

Cell: 5.092 5.092 6.148 Å, 90.00 90.00 120.00°
Atoms (fractional coordinates):
Ho 0.667 0.333 0.250
Ho 0.333 0.667 0.750
In 0.333 0.667 0.250
In 0.667 0.333 0.750
Zn 0.000 0.000 0.000
Zn 0.000 0.000 0.500

Properties
- electronic total energy (eV per formula unit) = -9.24


No. 7
Entry from the Open Quantum Materials Database: a geometry-optimized Ho2Ta2Ge structure (GGA-PBE).

Cell: 3.399 3.399 23.382 Å, 90.00 90.00 120.00°
Atoms (fractional coordinates):
Ge 0.000 0.000 0.000
Ge 0.000 0.000 0.500
Ho 0.667 0.333 0.177
Ho 0.667 0.333 0.323
Ho 0.333 0.667 0.677
Ho 0.333 0.667 0.823
Ta 0.333 0.667 0.074
Ta 0.333 0.667 0.426
Ta 0.667 0.333 0.574
Ta 0.667 0.333 0.926

Properties
- electronic total energy (eV per formula unit) = -36.31


No. 8
Entry from the Open Quantum Materials Database: a geometry-optimized Cu9Pb structure (GGA-PBE).

Cell: 2.730 3.395 37.776 Å, 90.00 90.00 90.00°
Atoms (fractional coordinates):
Cu 0.500 0.500 0.213
Cu 0.000 0.000 0.246
Cu 0.500 0.500 0.281
Cu 0.000 0.000 0.314
Cu 0.500 0.500 0.348
Cu 0.000 0.000 0.382
Cu 0.500 0.500 0.416
Cu 0.000 0.000 0.450
Cu 0.500 0.500 0.483
Cu 0.000 0.000 0.517
Cu 0.500 0.500 0.550
Cu 0.000 0.000 0.584
Cu 0.500 0.500 0.618
Cu 0.000 0.000 0.652
Cu 0.500 0.500 0.686
Cu 0.000 0.000 0.719
Cu 0.500 0.500 0.754
Cu 0.000 0.000 0.787
Pb 0.000 0.000 0.160
Pb 0.500 0.500 0.840

Properties
- distance to the lowest polymorph of the same formula (meV/atom) = 0
- electronic total energy (eV per formula unit) = -36.17


No. 9
Entry from the Open Quantum Materials Database: a geometry-optimized PrTa2N4 structure (GGA-PBE).

Cell: 5.395 5.395 10.514 Å, 90.00 90.00 145.68°
Atoms (fractional coordinates):
N 0.500 0.500 0.000
N 0.236 0.764 0.107
N 0.930 0.070 0.250
N 0.236 0.764 0.393
N 0.500 0.500 0.500
N 0.764 0.236 0.607
N 0.070 0.930 0.750
N 0.764 0.236 0.893
Pr 0.617 0.383 0.250
Pr 0.383 0.617 0.750
Ta 0.871 0.129 0.066
Ta 0.871 0.129 0.434
Ta 0.129 0.871 0.566
Ta 0.129 0.871 0.934

Properties
- electronic total energy (eV per formula unit) = -70.41


No. 10
Entry from the Open Quantum Materials Database: a geometry-optimized Li2SnHg structure (GGA-PBE).

Cell: 4.714 6.705 4.715 Å, 90.00 90.00 90.00°
Atoms (fractional coordinates):
Hg 0.500 0.500 0.253
Hg 0.000 0.000 0.747
Li 0.000 0.250 0.247
Li 0.000 0.750 0.247
Li 0.500 0.250 0.753
Li 0.500 0.750 0.753
Sn 0.500 0.000 0.252
Sn 0.000 0.500 0.748

Properties
- distance to the lowest polymorph of the same formula (meV/atom) = 0
- electronic total energy (eV per formula unit) = -9.48


No. 11
Entry from the Open Quantum Materials Database: a geometry-optimized BaCd2Mo structure (GGA-PBE).

Cell: 5.206 5.206 5.206 Å, 60.00 60.00 60.00°
Atoms (fractional coordinates):
Ba 0.500 0.500 0.500
Cd 0.000 0.000 0.000
Cd 0.750 0.750 0.750
Mo 0.250 0.250 0.250

Properties
- electronic total energy (eV per formula unit) = -11.58


No. 12
Entry from the Open Quantum Materials Database: a geometry-optimized Gd11Ir3Cl15 structure (GGA-PBE).

Cell: 12.246 12.246 12.633 Å, 90.00 90.00 120.00°
Atoms (fractional coordinates):
Cl 0.273 0.086 0.068
Cl 0.914 0.186 0.068
Cl 0.814 0.727 0.068
Cl 0.127 0.522 0.080
Cl 0.478 0.606 0.080
Cl 0.394 0.873 0.080
Cl 0.191 0.319 0.250
Cl 0.128 0.809 0.250
Cl 0.681 0.872 0.250
Cl 0.127 0.522 0.420
Cl 0.478 0.606 0.420
Cl 0.394 0.873 0.420
Cl 0.273 0.086 0.432
Cl 0.914 0.186 0.432
Cl 0.814 0.727 0.432
Cl 0.186 0.273 0.568
Cl 0.086 0.814 0.568
Cl 0.727 0.914 0.568
Cl 0.606 0.127 0.580
Cl 0.522 0.394 0.580
Cl 0.873 0.478 0.580
Cl 0.319 0.128 0.750
Cl 0.872 0.191 0.750
Cl 0.809 0.681 0.750
Cl 0.606 0.127 0.920
Cl 0.522 0.394 0.920
Cl 0.873 0.478 0.920
Cl 0.186 0.273 0.932
Cl 0.086 0.814 0.932
Cl 0.727 0.914 0.932
Gd 0.667 0.333 0.077
Gd 0.660 0.028 0.106
Gd 0.368 0.340 0.106
Gd 0.972 0.632 0.106
Gd 0.392 0.071 0.250
Gd 0.929 0.321 0.250
Gd 0.679 0.608 0.250
Gd 0.660 0.028 0.394
Gd 0.368 0.340 0.394
Gd 0.972 0.632 0.394
Gd 0.667 0.333 0.423
Gd 0.333 0.667 0.577
Gd 0.028 0.368 0.606
Gd 0.632 0.660 0.606
Gd 0.340 0.972 0.606
Gd 0.321 0.392 0.750
Gd 0.071 0.679 0.750
Gd 0.608 0.929 0.750
Gd 0.028 0.368 0.894
Gd 0.632 0.660 0.894
Gd 0.340 0.972 0.894
Gd 0.333 0.667 0.923
Ir 0.659 0.189 0.250
Ir 0.530 0.341 0.250
Ir 0.811 0.470 0.250
Ir 0.189 0.530 0.750
Ir 0.470 0.659 0.750
Ir 0.341 0.811 0.750

Properties
- electronic total energy (eV per formula unit) = -157.96